No. 1
# TmAl2Ag2S6 (PBE, optimized geometry)
data_TmAl2Ag2S6
_cell_length_a 6.366
_cell_length_b 11.012
_cell_length_c 6.775
_cell_angle_alpha 90.00
_cell_angle_beta 112.51
_cell_angle_gamma 90.00
_space_group_name_H-M_alt 'C 1 2/m 1'
_space_group_IT_number 12
loop_
_space_group_symop_operation_xyz
'x,y,z'
'-x,-y,-z'
'-x,y,-z'
'x,-y,z'
'x+1/2,y+1/2,z'
'-x+1/2,-y+1/2,-z'
'-x+1/2,y+1/2,-z'
'x+1/2,-y+1/2,z'
loop_
_atom_site_label
_atom_site_type_symbol
_atom_site_fract_x
_atom_site_fract_y
_atom_site_fract_z
_atom_site_occupancy
Tm1 Tm 0.000 0.000 0.000 1
Al1 Al 0.000 0.325 0.000 1
Ag1 Ag 0.000 0.151 0.500 1
S1 S 0.216 0.500 0.212 1
S2 S 0.235 0.317 0.777 1
# total moment	0.000	μB/atom
# raw formation energy	-85	kJ/mol of atoms
# uncorrected energy	-4.74	eV per atom
# density	4.78	g/cm³


No. 2
# PrPd3Pb3 (PBE, optimized geometry)
data_PrPd3Pb3
_cell_length_a 9.020
_cell_length_b 4.834
_cell_length_c 9.024
_cell_angle_alpha 90.00
_cell_angle_beta 119.94
_cell_angle_gamma 90.00
_space_group_name_H-M_alt 'P 1 21/m 1'
_space_group_IT_number 11
loop_
_space_group_symop_operation_xyz
'x,y,z'
'-x,-y,-z'
'-x,y+1/2,-z'
'x,-y+1/2,z'
loop_
_atom_site_label
_atom_site_type_symbol
_atom_site_fract_x
_atom_site_fract_y
_atom_site_fract_z
_atom_site_occupancy
Pr1 Pr 0.167 0.250 0.333 1
Pd1 Pd 0.039 0.250 0.933 1
Pd2 Pd 0.106 0.750 0.539 1
Pd3 Pd 0.433 0.750 0.394 1
Pb1 Pb 0.223 0.250 0.750 1
Pb2 Pb 0.250 0.750 0.027 1
Pb3 Pb 0.473 0.750 0.723 1
# total moment	0.000	μB/atom
# formation energy	-408	meV per atom
# uncorrected energy	-4.91	eV per atom
# energy above the lowest structure with this stoichiometry	0	meV/atom
# density	10.54	g/cm³


No. 3
# Sr5Ac3S8 (PBE, optimized geometry)
data_Sr5Ac3S8
_cell_length_a 8.5653
_cell_length_b 8.5653
_cell_length_c 21.0550
_cell_angle_alpha 90.00
_cell_angle_beta 90.00
_cell_angle_gamma 120.00
_space_group_name_H-M_alt 'R -3 m'
_space_group_IT_number 166
_space_group_name_Hall '-R 3 2"'
loop_
_atom_site_label
_atom_site_type_symbol
_atom_site_fract_x
_atom_site_fract_y
_atom_site_fract_z
_atom_site_occupancy
Sr1 Sr 0.0000 0.0000 0.0000 1
Sr2 Sr 0.0000 0.0000 0.5000 1
Sr3 Sr 0.0000 0.5000 0.0000 1
Ac1 Ac 0.0000 0.5000 0.5000 1
S1 S 0.0000 0.0000 0.2512 1
S2 S 0.0005 0.5002 0.2502 1
# total moment	0.000	μB/atom
# raw formation energy	-200	kJ/mol of atoms
# uncorrected energy	-5.43	eV per atom
# density	5.12	g/cm³


No. 4
# SrLiNpI6 (PBE, optimized geometry)
data_SrLiNpI6
_cell_length_a 7.8107
_cell_length_b 7.8107
_cell_length_c 14.5184
_cell_angle_alpha 90.00
_cell_angle_beta 90.00
_cell_angle_gamma 120.00
_space_group_name_H-M_alt 'P -3 1 c'
_space_group_IT_number 163
_space_group_name_Hall '-P 3 2c'
loop_
_atom_site_label
_atom_site_type_symbol
_atom_site_fract_x
_atom_site_fract_y
_atom_site_fract_z
_atom_site_occupancy
Sr1 Sr 0.0000 0.0000 0.0000 1
Li1 Li 0.3333 0.6667 0.2500 1
Np1 Np 0.3333 0.6667 0.7500 1
I1 I 0.0085 0.3553 0.1300 1
# total moment	0.444	μB/atom
# raw formation energy	-113	kJ/mol of atoms
# uncorrected energy	-4.05	eV per atom
# density	4.73	g/cm³


No. 5
# K2CaHgSb (PBE, optimized geometry)
data_K2CaHgSb
_cell_length_a 5.968
_cell_length_b 5.968
_cell_length_c 6.070
_cell_angle_alpha 90.00
_cell_angle_beta 90.00
_cell_angle_gamma 90.00
_space_group_name_H-M_alt 'P 4/m m m'
_space_group_IT_number 123
_space_group_name_Hall '-P 4 2'
loop_
_atom_site_label
_atom_site_type_symbol
_atom_site_fract_x
_atom_site_fract_y
_atom_site_fract_z
_atom_site_occupancy
K1 K 0.000 0.500 0.000 1
Ca1 Ca 0.000 0.000 0.500 1
Hg1 Hg 0.000 0.000 0.000 1
Sb1 Sb 0.500 0.500 0.500 1
# total moment	0.000	μB/atom
# raw formation energy	2	kJ/mol of atoms
# uncorrected energy	-1.70	eV per atom
# density	3.38	g/cm³


No. 6
# FeBAsC (PBE, optimized geometry)
data_FeBAsC
_cell_length_a 4.824
_cell_length_b 2.783
_cell_length_c 7.607
_cell_angle_alpha 90.00
_cell_angle_beta 100.78
_cell_angle_gamma 90.00
_space_group_name_H-M_alt 'C 1 m 1'
_space_group_IT_number 8
loop_
_space_group_symop_operation_xyz
'x,y,z'
'x,-y,z'
'x+1/2,y+1/2,z'
'x+1/2,-y+1/2,z'
loop_
_atom_site_label
_atom_site_type_symbol
_atom_site_fract_x
_atom_site_fract_y
_atom_site_fract_z
_atom_site_occupancy
Fe1 Fe 0.000 0.000 0.000 1
B1 B 0.400 0.000 0.226 1
As1 As 0.260 0.000 0.752 1
C1 C 0.231 0.500 0.220 1
# total moment	0.528	μB/atom
# formation energy	125	meV per atom
# uncorrected energy	-7.13	eV per atom
# energy above the lowest structure with this stoichiometry	0	meV/atom
# density	5.08	g/cm³


No. 7
# La6Bi2Sb3I (PBE, optimized geometry)
data_La6Bi2Sb3I
_cell_length_a 20.307
_cell_length_b 4.652
_cell_length_c 9.320
_cell_angle_alpha 90.00
_cell_angle_beta 103.53
_cell_angle_gamma 90.00
_space_group_name_H-M_alt 'C 1 2/m 1'
_space_group_IT_number 12
loop_
_space_group_symop_operation_xyz
'x,y,z'
'-x,-y,-z'
'-x,y,-z'
'x,-y,z'
'x+1/2,y+1/2,z'
'-x+1/2,-y+1/2,-z'
'-x+1/2,y+1/2,-z'
'x+1/2,-y+1/2,z'
loop_
_atom_site_label
_atom_site_type_symbol
_atom_site_fract_x
_atom_site_fract_y
_atom_site_fract_z
_atom_site_occupancy
La1 La 0.001 0.000 0.233 1
La2 La 0.166 0.500 0.086 1
La3 La 0.173 0.500 0.583 1
Bi1 Bi 0.165 0.000 0.830 1
Sb1 Sb 0.000 0.500 0.000 1
Sb2 Sb 0.164 0.000 0.334 1
I1 I 0.000 0.500 0.500 1
# total moment	0.000	μB/atom
# raw formation energy	-116	kJ/mol of atoms
# uncorrected energy	-5.47	eV per atom
# density	6.77	g/cm³


No. 8
# Mg2Zr2P (PBE, optimized geometry)
data_Mg2Zr2P
_cell_length_a 6.766
_cell_length_b 6.766
_cell_length_c 4.993
_cell_angle_alpha 90.00
_cell_angle_beta 90.00
_cell_angle_gamma 90.00
_space_group_name_H-M_alt 'P 4/m b m'
_space_group_IT_number 127
_space_group_name_Hall '-P 4 2ab'
loop_
_atom_site_label
_atom_site_type_symbol
_atom_site_fract_x
_atom_site_fract_y
_atom_site_fract_z
_atom_site_occupancy
Mg1 Mg 0.150 0.350 0.000 1
Zr1 Zr 0.160 0.660 0.500 1
P1 P 0.000 0.000 0.500 1
# total moment	0.000	μB/atom
# formation energy	-321	meV per atom
# uncorrected energy	-5.46	eV per atom
# density	3.81	g/cm³


No. 9
# CrAg2W (PBE, optimized geometry)
data_CrAg2W
_cell_length_a 4.804
_cell_length_b 2.784
_cell_length_c 5.156
_cell_angle_alpha 90.00
_cell_angle_beta 108.49
_cell_angle_gamma 90.00
_space_group_name_H-M_alt 'P 1 2/m 1'
_space_group_IT_number 10
loop_
_space_group_symop_operation_xyz
'x,y,z'
'-x,-y,-z'
'-x,y,-z'
'x,-y,z'
loop_
_atom_site_label
_atom_site_type_symbol
_atom_site_fract_x
_atom_site_fract_y
_atom_site_fract_z
_atom_site_occupancy
Cr1 Cr 0.000 0.000 0.000 1
Ag1 Ag 0.000 0.500 0.500 1
Ag2 Ag 0.500 0.000 0.500 1
W1 W 0.500 0.500 0.000 1
# total moment	0.622	μB/atom
# formation energy	644	meV per atom
# uncorrected energy	-6.43	eV per atom
# energy above the lowest structure with this stoichiometry	260	meV/atom
# density	11.47	g/cm³


No. 10
# CdFe (PBE, optimized geometry)
data_CdFe
_cell_length_a 5.119
_cell_length_b 5.119
_cell_length_c 5.119
_cell_angle_alpha 90.00
_cell_angle_beta 90.00
_cell_angle_gamma 90.00
_space_group_name_H-M_alt 'P 21 3'
_space_group_IT_number 198
_space_group_name_Hall 'P 2ac 2ab 3'
loop_
_atom_site_label
_atom_site_type_symbol
_atom_site_fract_x
_atom_site_fract_y
_atom_site_fract_z
_atom_site_occupancy
Cd1 Cd 0.095 0.405 0.595 1
Fe1 Fe 0.099 0.901 0.401 1
# total moment	1.338	μB/atom
# formation energy	532	meV per atom
# uncorrected energy	-4.16	eV per atom
# density	8.33	g/cm³


No. 11
# Pr4TlPbN (PBE, optimized geometry)
data_Pr4TlPbN
_cell_length_a 7.049
_cell_length_b 16.741
_cell_length_c 7.051
_cell_angle_alpha 90.00
_cell_angle_beta 90.00
_cell_angle_gamma 90.00
_space_group_name_H-M_alt 'C m c m'
_space_group_IT_number 63
_space_group_name_Hall '-C 2c 2'
loop_
_atom_site_label
_atom_site_type_symbol
_atom_site_fract_x
_atom_site_fract_y
_atom_site_fract_z
_atom_site_occupancy
Pr1 Pr 0.000 0.086 0.250 1
Pr2 Pr 0.000 0.412 0.250 1
Pr3 Pr 0.250 0.250 0.000 1
Tl1 Tl 0.000 0.111 0.750 1
Pb1 Pb 0.000 0.392 0.750 1
N1 N 0.000 0.250 0.250 1
# total moment	0.000	μB/atom
# raw formation energy	-65	kJ/mol of atoms
# uncorrected energy	-5.46	eV per atom
# density	7.90	g/cm³


No. 12
# AlTlHg2 (PBE, optimized geometry)
data_AlTlHg2
_cell_length_a 4.547
_cell_length_b 4.659
_cell_length_c 4.741
_cell_angle_alpha 90.00
_cell_angle_beta 90.00
_cell_angle_gamma 90.00
_space_group_name_H-M_alt 'P m m m'
_space_group_IT_number 47
loop_
_space_group_symop_operation_xyz
'x,y,z'
'-x,-y,-z'
'-x,-y,z'
'x,y,-z'
'x,-y,-z'
'-x,y,z'
'-x,y,-z'
'x,-y,z'
loop_
_atom_site_label
_atom_site_type_symbol
_atom_site_fract_x
_atom_site_fract_y
_atom_site_fract_z
_atom_site_occupancy
Al1 Al 0.000 0.000 0.000 1
Tl1 Tl 0.000 0.500 0.500 1
Hg1 Hg 0.500 0.000 0.500 1
Hg2 Hg 0.500 0.500 0.000 1
# total moment	0.000	μB/atom
# formation energy	170	meV per atom
# uncorrected energy	-1.51	eV per atom
# density	10.46	g/cm³


No. 13
# P2IrAu (PBE, optimized geometry)
data_P2IrAu
_cell_length_a 2.879
_cell_length_b 3.350
_cell_length_c 7.251
_cell_angle_alpha 90.00
_cell_angle_beta 90.00
_cell_angle_gamma 90.00
_space_group_name_H-M_alt 'P m m 2'
_space_group_IT_number 25
loop_
_space_group_symop_operation_xyz
'x,y,z'
'-x,-y,z'
'-x,y,z'
'x,-y,z'
loop_
_atom_site_label
_atom_site_type_symbol
_atom_site_fract_x
_atom_site_fract_y
_atom_site_fract_z
_atom_site_occupancy
P1 P 0.000 0.000 0.000 1
P2 P 0.500 0.000 0.389 1
Ir1 Ir 0.500 0.500 0.167 1
Au1 Au 0.000 0.000 0.667 1
# total moment	0.000	μB/atom
# formation energy	-103	meV per atom
# uncorrected energy	-5.84	eV per atom
# energy above the lowest structure with this stoichiometry	122	meV/atom
# density	10.71	g/cm³


No. 14
# Ta2MnPd (PBE, optimized geometry)
data_Ta2MnPd
_cell_length_a 2.948
_cell_length_b 2.948
_cell_length_c 7.175
_cell_angle_alpha 90.00
_cell_angle_beta 90.00
_cell_angle_gamma 90.00
_space_group_name_H-M_alt 'P 4/m m m'
_space_group_IT_number 123
_space_group_name_Hall '-P 4 2'
loop_
_atom_site_label
_atom_site_type_symbol
_atom_site_fract_x
_atom_site_fract_y
_atom_site_fract_z
_atom_site_occupancy
Ta1 Ta 0.000 0.000 0.221 1
Mn1 Mn 0.500 0.500 0.000 1
Pd1 Pd 0.500 0.500 0.500 1
# total moment	0.000	μB/atom
# formation energy	-193	meV per atom
# uncorrected energy	-9.71	eV per atom
# density	13.93	g/cm³


No. 15
# K2ReSb (PBE, optimized geometry)
data_K2ReSb
_cell_length_a 3.574
_cell_length_b 4.616
_cell_length_c 11.885
_cell_angle_alpha 90.00
_cell_angle_beta 90.00
_cell_angle_gamma 90.00
_space_group_name_H-M_alt 'I m m m'
_space_group_IT_number 71
_space_group_name_Hall '-I 2 2'
loop_
_atom_site_label
_atom_site_type_symbol
_atom_site_fract_x
_atom_site_fract_y
_atom_site_fract_z
_atom_site_occupancy
K1 K 0.000 0.000 0.231 1
Re1 Re 0.000 0.500 0.500 1
Sb1 Sb 0.000 0.500 0.000 1
# total moment	0.185	μB/atom
# raw formation energy	95	kJ/mol of atoms
# uncorrected energy	-3.71	eV per atom
# density	6.54	g/cm³


No. 16
# Cs3TmAg2Cl8 (PBE, optimized geometry)
data_Cs3TmAg2Cl8
_cell_length_a 7.5118
_cell_length_b 7.5118
_cell_length_c 10.1627
_cell_angle_alpha 90.00
_cell_angle_beta 90.00
_cell_angle_gamma 120.00
_space_group_name_H-M_alt 'P -3 m 1'
_space_group_IT_number 164
_space_group_name_Hall '-P 3 2"'
loop_
_atom_site_label
_atom_site_type_symbol
_atom_site_fract_x
_atom_site_fract_y
_atom_site_fract_z
_atom_site_occupancy
Cs1 Cs 0.0000 0.0000 0.0000 1
Cs2 Cs 0.3333 0.6667 0.6379 1
Tm1 Tm 0.0000 0.0000 0.5000 1
Ag1 Ag 0.3333 0.6667 0.1980 1
Cl1 Cl 0.1616 0.3231 0.3486 1
Cl2 Cl 0.3333 0.6667 0.9610 1
# total moment	0.000	μB/atom
# raw formation energy	-158	kJ/mol of atoms
# uncorrected energy	-3.60	eV per atom
# density	3.57	g/cm³


No. 17
# CsInCuF6 (PBE, optimized geometry)
data_CsInCuF6
_cell_length_a 7.443
_cell_length_b 7.890
_cell_length_c 10.923
_cell_angle_alpha 90.00
_cell_angle_beta 90.00
_cell_angle_gamma 90.00
_space_group_name_H-M_alt 'I m m a'
_space_group_IT_number 74
_space_group_name_Hall '-I 2b 2'
loop_
_atom_site_label
_atom_site_type_symbol
_atom_site_fract_x
_atom_site_fract_y
_atom_site_fract_z
_atom_site_occupancy
Cs1 Cs 0.000 0.250 0.097 1
In1 In 0.000 0.000 0.500 1
Cu1 Cu 0.250 0.250 0.750 1
F1 F 0.000 0.250 0.421 1
F2 F 0.000 0.250 0.801 1
F3 F 0.209 0.060 0.620 1
# total moment	0.112	μB/atom
# raw formation energy	-221	kJ/mol of atoms
# uncorrected energy	-4.39	eV per atom
# density	4.40	g/cm³


No. 18
# Ta3SbPt (PBE, optimized geometry)
data_Ta3SbPt
_cell_length_a 4.918
_cell_length_b 4.918
_cell_length_c 4.918
_cell_angle_alpha 90.00
_cell_angle_beta 90.00
_cell_angle_gamma 90.00
_space_group_name_H-M_alt 'P m -3 m'
_space_group_IT_number 221
_space_group_name_Hall '-P 4 2 3'
loop_
_atom_site_label
_atom_site_type_symbol
_atom_site_fract_x
_atom_site_fract_y
_atom_site_fract_z
_atom_site_occupancy
Ta1 Ta 0.000 0.000 0.500 1
Sb1 Sb 0.500 0.500 0.500 1
Pt1 Pt 0.000 0.000 0.000 1
# total moment	0.000	μB/atom
# raw formation energy	99	kJ/mol of atoms
# uncorrected energy	-8.12	eV per atom
# energy above the lowest structure with this stoichiometry	0	meV/atom
# density	12.00	g/cm³


No. 19
# TiVW (PBE, optimized geometry)
data_TiVW
_cell_length_a 6.006
_cell_length_b 6.006
_cell_length_c 6.006
_cell_angle_alpha 90.00
_cell_angle_beta 90.00
_cell_angle_gamma 90.00
_space_group_name_H-M_alt 'F -4 3 m'
_space_group_IT_number 216
_space_group_name_Hall 'F -4 2 3'
loop_
_atom_site_label
_atom_site_type_symbol
_atom_site_fract_x
_atom_site_fract_y
_atom_site_fract_z
_atom_site_occupancy
Ti1 Ti 0.000 0.000 0.000 1
V1 V 0.250 0.250 0.250 1
W1 W 0.250 0.250 0.750 1
# total moment	0.182	μB/atom
# formation energy	1117	meV per atom
# uncorrected energy	-8.87	eV per atom
# energy above the lowest structure with this stoichiometry	1136	meV/atom
# density	8.67	g/cm³


No. 20
# Pt4W5 (PBE, optimized geometry)
data_Pt4W5
_cell_length_a 8.501
_cell_length_b 8.501
_cell_length_c 3.933
_cell_angle_alpha 90.00
_cell_angle_beta 90.00
_cell_angle_gamma 90.00
_space_group_name_H-M_alt 'I 4/m m m'
_space_group_IT_number 139
_space_group_name_Hall '-I 4 2'
loop_
_atom_site_label
_atom_site_type_symbol
_atom_site_fract_x
_atom_site_fract_y
_atom_site_fract_z
_atom_site_occupancy
Pt1 Pt 0.000 0.325 0.000 1
W1 W 0.000 0.000 0.000 1
W2 W 0.171 0.171 0.500 1
# total moment	0.000	μB/atom
# formation energy	-144	meV per atom
# uncorrected energy	-10.03	eV per atom
# energy above the lowest structure with this stoichiometry	0	meV/atom
# density	19.86	g/cm³